1.
Hf3Zn3Co | GGA-PBE | relaxed

abc: 8.9172 8.9172 8.9172
angles: 60.00 60.00 60.00
Last column: nearest neighbours and their distance in Å.
Fractional positions:
Hf (0.0430, 0.4570, 0.0430)  2 Co 2.46
Hf (0.7930, 0.2070, 0.7930)  2 Co 2.46
Hf (0.0430, 0.4570, 0.4570)  2 Co 2.46
Hf (0.2070, 0.2070, 0.7930)  2 Co 2.46
Hf (0.2070, 0.7930, 0.2070)  2 Co 2.46
Hf (0.4570, 0.4570, 0.0430)  2 Co 2.46
Hf (0.7930, 0.2070, 0.2070)  2 Co 2.46
Hf (0.2070, 0.7930, 0.7930)  2 Co 2.46
Hf (0.4570, 0.0430, 0.4570)  2 Co 2.46
Hf (0.4570, 0.0430, 0.0430)  2 Co 2.46
Hf (0.7930, 0.7930, 0.2070)  2 Co 2.46
Hf (0.0430, 0.0430, 0.4570)  2 Co 2.46
Co (0.6250, 0.1250, 0.1250)  6 Hf 2.46
Co (0.1250, 0.6250, 0.1250)  6 Hf 2.46
Co (0.1250, 0.1250, 0.1250)  6 Hf 2.46
Co (0.1250, 0.1250, 0.6250)  6 Hf 2.46
Zn (0.8329, 0.8329, 0.8329)  6 Zn 2.73-2.96, 6 Hf 3.02-3.03
Zn (0.4171, 0.4171, 0.7487)  6 Zn 2.73-2.96, 6 Hf 3.02-3.03
Zn (0.6250, 0.6250, 0.1250)  6 Zn 2.73
Zn (0.6250, 0.6250, 0.6250)  6 Zn 2.73
Zn (0.6250, 0.1250, 0.6250)  6 Zn 2.73
Zn (0.8329, 0.5013, 0.8329)  6 Zn 2.73-2.96, 6 Hf 3.02-3.03
Zn (0.7487, 0.4171, 0.4171)  6 Zn 2.73-2.96, 6 Hf 3.02-3.03
Zn (0.8329, 0.8329, 0.5013)  6 Zn 2.73-2.96, 6 Hf 3.02-3.03
Zn (0.4171, 0.7487, 0.4171)  6 Zn 2.73-2.96, 6 Hf 3.02-3.03
Zn (0.4171, 0.4171, 0.4171)  6 Zn 2.73-2.96, 6 Hf 3.02-3.03
Zn (0.5013, 0.8329, 0.8329)  6 Zn 2.73-2.96, 6 Hf 3.02-3.03
Zn (0.1250, 0.6250, 0.6250)  6 Zn 2.73

## Properties
symmetry = No. 227
formation energy = -175 meV/atom
spin magnetization = 0.00 μB per atom

***

2.
Tl2HgPtCl | GGA-PBE | relaxed

abc: 5.3626 5.3626 5.3208
angles: 90.00 90.00 90.00
Last column: nearest neighbours and their distance in Å.
Fractional positions:
Cl (0.5000, 0.5000, 0.5000)  8 Tl 3.78, 4 Hg 3.79
Hg (0.0000, 0.0000, 0.5000)  2 Pt 2.66
Tl (0.0000, 0.5000, 0.0000)  2 Pt 2.68
Tl (0.5000, 0.0000, 0.0000)  2 Pt 2.68
Pt (0.0000, 0.0000, 0.0000)  2 Hg 2.66, 4 Tl 2.68

## Properties
symmetry = No. 123
spin magnetization = 0.00 μB per atom
ΔE_f (raw) = -0.3900 eV per atom

***

3.
Na4O2F5 | GGA-PBE | relaxed

abc: 3.4138 8.4172 14.7617
angles: 159.03 96.64 90.00
Last column: nearest neighbours and their distance in Å.
Fractional positions:
Na (0.9127, 0.5451, 0.8253)  6 F 2.34-2.51
Na (0.0873, 0.4549, 0.1747)  6 F 2.34-2.51
Na (0.2903, 0.4613, 0.5807)  6 F 2.27-2.44
Na (0.7097, 0.5387, 0.4193)  6 F 2.27-2.44
O (0.4916, 0.5427, 0.9832)  1 O 1.19
O (0.5084, 0.4573, 0.0168)  1 O 1.19
F (0.1228, 0.1098, 0.2456)  4 Na 2.27-2.36, 2 O 2.44
F (0.7098, 0.0182, 0.4195)  1 O 2.18, 3 Na 2.34-2.42
F (0.8772, 0.8902, 0.7544)  4 Na 2.27-2.36, 2 O 2.44
F (0.5000, 0.0000, 0.0000)  6 Na 2.39-2.44
F (0.2902, 0.9818, 0.5805)  1 O 2.18, 3 Na 2.34-2.42

## Properties
symmetry = No. 12
spin magnetization = 0.09 μB per atom
ΔE_f (raw) = -1.9660 eV per atom

***

4.
HfPaGaTc | GGA-PBE | relaxed

abc: 4.8232 4.8232 4.8232
angles: 60.00 60.00 60.00
Last column: nearest neighbours and their distance in Å.
Fractional positions:
Pa (0.5000, 0.5000, 0.5000)  4 Tc 2.95, 4 Ga 2.95
Tc (0.2500, 0.2500, 0.2500)  4 Hf 2.95, 4 Pa 2.95
Hf (0.0000, 0.0000, 0.0000)  4 Ga 2.95, 4 Tc 2.95
Ga (0.7500, 0.7500, 0.7500)  4 Hf 2.95, 4 Pa 2.95

## Properties
symmetry = No. 216
formation energy = -155 meV/atom
spin magnetization = 0.00 μB per atom